# 1
Material: CuPtCl2
Method: DFT, PBE
State: optimized geometry

Lattice parameters (Å, degrees): 3.4632 3.4901 7.2257 84.41 90.00 90.00
Element x y z (fractional)
Pt: 0.5000 0.9240 0.6912
Cu: 0.0000 0.4882 0.5342
Cl: 0.5000 0.2345 0.3615
Cl: 0.0000 0.8533 0.9131

excess energy over the best structure of this formula in the dataset = 49 meV/atom
volume = 87 Å³/cell
theoretical density = 6.3 g/cm3
energy relative to the elements, uncorrected = -0.0381 eV per atom
raw total energy = -13.98 eV/cell
space group = No. 6
DOS at the Fermi energy = 2.2 states/eV/f.u.

=====

# 2
Material: Cu3PtCl
Method: DFT, PBE
State: optimized geometry

Lattice parameters (Å, degrees): 4.3385 4.3385 4.3385 90.00 90.00 90.00
Element x y z (fractional)
Cu: 0.0000 0.0000 0.5000
Pt: 0.5000 0.5000 0.5000
Cu: 0.5000 0.0000 0.0000
Cl: 0.0000 0.0000 0.0000
Cu: 0.0000 0.5000 0.0000

excess energy over the best structure of this formula in the dataset = 4 meV/atom
volume = 82 Å³/cell
theoretical density = 8.6 g/cm3
energy relative to the elements, uncorrected = 0.7105 eV per atom
raw total energy = -16.62 eV/cell
space group = No. 221
DOS at the Fermi energy = 0.9 states/eV/f.u.

=====

# 3
Material: CuPtCl
Method: DFT, PBE
State: optimized geometry

Lattice parameters (Å, degrees): 4.2793 4.2793 4.2793 60.00 60.00 60.00
Element x y z (fractional)
Cu: 0.5000 0.5000 0.5000
Pt: 0.7500 0.7500 0.7500
Cl: 0.0000 0.0000 0.0000

excess energy over the best structure of this formula in the dataset = 358 meV/atom
volume = 55 Å³/cell
theoretical density = 8.8 g/cm3
energy relative to the elements, uncorrected = 0.5274 eV per atom
raw total energy = -10.40 eV/cell
space group = No. 216
DOS at the Fermi energy = 4.5 states/eV/f.u.